This record from the Alexandria database describes a relaxed Tm2MnZn12Cu3 crystal. The functional is GGA-PBE.

- ΔE_f (eV per atom) = 0.006

Geometry as CIF:
```
data_Tm2MnZn12Cu3
_space_group_name_H-M_alt 'R -3 m'
_space_group_IT_number 166
_space_group_name_Hall '-R 3 2"'
_cell_length_a 5.4269
_cell_length_b 5.4269
_cell_length_c 36.1532
_cell_angle_alpha 90.00
_cell_angle_beta 90.00
_cell_angle_gamma 120.00
loop_
_atom_site_label
_atom_site_fract_x
_atom_site_fract_y
_atom_site_fract_z
Tm1 0.0000 0.0000 0.1456
Mn1 0.0000 0.0000 0.5000
Zn1 0.9999 0.5000 0.1118
Zn2 0.0145 0.5073 0.6133
Cu1 0.0000 0.5000 0.0000
```


This record from the Alexandria database describes a relaxed PaReSi crystal. The functional is GGA-PBE.

- formation energy (no corrections) (eV per atom) = -0.5354

Geometry as CIF:
```
data_PaReSi
_space_group_name_H-M_alt 'P n m a'
_space_group_IT_number 62
_cell_length_a 7.2650
_cell_length_b 4.3235
_cell_length_c 6.9451
_cell_angle_alpha 90.00
_cell_angle_beta 90.00
_cell_angle_gamma 90.00
loop_
_space_group_symop_operation_xyz
'x,y,z'
'-x,-y,-z'
'-x+1/2,-y,z+1/2'
'x+1/2,y,-z+1/2'
'x+1/2,-y+1/2,-z+1/2'
'-x+1/2,y+1/2,z+1/2'
'-x,y+1/2,-z'
'x,-y+1/2,z'
loop_
_atom_site_label
_atom_site_fract_x
_atom_site_fract_y
_atom_site_fract_z
Pa1 0.0160 0.2500 0.1690
Re1 0.1438 0.7500 0.4357
Si1 0.1988 0.2500 0.6131
```


This record from the Alexandria database describes a relaxed Ba3LiCu crystal. The functional is GGA-PBE.

- offset from the most stable computed form (meV per atom) = 71
- ΔE_f (eV per atom) = 0.083

Geometry as CIF:
```
data_Ba3LiCu
_space_group_name_H-M_alt 'P m -3 m'
_space_group_IT_number 221
_space_group_name_Hall '-P 4 2 3'
_cell_length_a 6.3236
_cell_length_b 6.3236
_cell_length_c 6.3236
_cell_angle_alpha 90.00
_cell_angle_beta 90.00
_cell_angle_gamma 90.00
loop_
_atom_site_label
_atom_site_fract_x
_atom_site_fract_y
_atom_site_fract_z
Ba1 0.0000 0.0000 0.5000
Li1 0.5000 0.5000 0.5000
Cu1 0.0000 0.0000 0.0000
```


This record from the Alexandria database describes a relaxed La8Mg2Tc crystal. The functional is GGA-PBE.

- ΔE_f (eV per atom) = 0.006

Geometry as CIF:
```
data_La8Mg2Tc
_space_group_name_H-M_alt 'I m m m'
_space_group_IT_number 71
_space_group_name_Hall '-I 2 2'
_cell_length_a 5.9590
_cell_length_b 7.2781
_cell_length_c 16.6745
_cell_angle_alpha 90.00
_cell_angle_beta 90.00
_cell_angle_gamma 90.00
loop_
_atom_site_label
_atom_site_fract_x
_atom_site_fract_y
_atom_site_fract_z
La1 0.0000 0.0000 0.1896
La2 0.0000 0.2381 0.3803
La3 0.0000 0.2433 0.0000
Mg1 0.0000 0.5000 0.1900
Tc1 0.0000 0.5000 0.5000
```


This record from the Alexandria database describes a relaxed Pr2DyHg crystal. The functional is GGA-PBE.

- offset from the most stable computed form (meV per atom) = 311
- ΔE_f (eV per atom) = 0.080

Geometry as CIF:
```
data_Pr2DyHg
_space_group_name_H-M_alt 'R -3 m'
_space_group_IT_number 166
_space_group_name_Hall '-R 3 2"'
_cell_length_a 3.5413
_cell_length_b 3.5413
_cell_length_c 36.0300
_cell_angle_alpha 90.00
_cell_angle_beta 90.00
_cell_angle_gamma 120.00
loop_
_atom_site_label
_atom_site_fract_x
_atom_site_fract_y
_atom_site_fract_z
Pr1 0.0000 0.0000 0.0946
Dy1 0.0000 0.0000 0.0000
Hg1 0.0000 0.0000 0.5000
```


This record from the Alexandria database describes a relaxed MgSiSe4 crystal. The functional is GGA-PBE.

- formation energy (no corrections) (eV per atom) = 0.5343

Geometry as CIF:
```
data_MgSiSe4
_space_group_name_H-M_alt 'F -4 3 m'
_space_group_IT_number 216
_space_group_name_Hall 'F -4 2 3'
_cell_length_a 8.0781
_cell_length_b 8.0781
_cell_length_c 8.0781
_cell_angle_alpha 90.00
_cell_angle_beta 90.00
_cell_angle_gamma 90.00
loop_
_atom_site_label
_atom_site_fract_x
_atom_site_fract_y
_atom_site_fract_z
Mg1 0.0000 0.0000 0.0000
Si1 0.2500 0.2500 0.2500
Se1 0.1257 0.1257 0.6257
```


This record from the Alexandria database describes a relaxed LaPr5Sm2Mg crystal. The functional is GGA-PBE.

- ΔE_f (eV per atom) = 0.083

Geometry as CIF:
```
data_LaPr5Sm2Mg
_space_group_name_H-M_alt 'C m c 21'
_space_group_IT_number 36
_cell_length_a 5.6552
_cell_length_b 20.3004
_cell_length_c 11.0009
_cell_angle_alpha 90.00
_cell_angle_beta 90.00
_cell_angle_gamma 90.00
loop_
_space_group_symop_operation_xyz
'x,y,z'
'-x,-y,z+1/2'
'-x,y,z'
'x,-y,z+1/2'
'x+1/2,y+1/2,z'
'-x+1/2,-y+1/2,z+1/2'
'-x+1/2,y+1/2,z'
'x+1/2,-y+1/2,z+1/2'
loop_
_atom_site_label
_atom_site_fract_x
_atom_site_fract_y
_atom_site_fract_z
La1 0.0000 0.1995 0.0000
Pr1 0.0000 0.0129 0.9997
Pr2 0.0000 0.2886 0.2990
Pr3 0.0000 0.2892 0.7007
Pr4 0.0000 0.3815 0.9997
Pr5 0.0000 0.5002 0.2491
Sm1 0.0000 0.1141 0.2891
Sm2 0.0000 0.1144 0.7105
Mg1 0.0000 0.4058 0.4989
```


This record from the Alexandria database describes a relaxed Th2ScC crystal. The functional is GGA-PBE.

- offset from the most stable computed form (meV per atom) = 0
- ΔE_f (eV per atom) = -0.170

Geometry as CIF:
```
data_Th2ScC
_space_group_name_H-M_alt 'I m m m'
_space_group_IT_number 71
_space_group_name_Hall '-I 2 2'
_cell_length_a 3.6283
_cell_length_b 4.6103
_cell_length_c 11.6944
_cell_angle_alpha 90.00
_cell_angle_beta 90.00
_cell_angle_gamma 90.00
loop_
_atom_site_label
_atom_site_fract_x
_atom_site_fract_y
_atom_site_fract_z
Th1 0.0000 0.0000 0.1508
Sc1 0.0000 0.0000 0.5000
C1 0.0000 0.5000 0.5000
```


This record from the Alexandria database describes a relaxed MgCoN3 crystal. The functional is GGA-PBE.

- formation energy (no corrections) (eV per atom) = 2.1677

Geometry as CIF:
```
data_MgCoN3
_space_group_name_H-M_alt 'P m -3 m'
_space_group_IT_number 221
_space_group_name_Hall '-P 4 2 3'
_cell_length_a 3.8392
_cell_length_b 3.8392
_cell_length_c 3.8392
_cell_angle_alpha 90.00
_cell_angle_beta 90.00
_cell_angle_gamma 90.00
loop_
_atom_site_label
_atom_site_fract_x
_atom_site_fract_y
_atom_site_fract_z
Mg1 0.0000 0.0000 0.0000
Co1 0.5000 0.5000 0.5000
N1 0.0000 0.0000 0.5000
```


This record from the Alexandria database describes a relaxed CsHgGe3 crystal. The functional is GGA-PBE.

- offset from the most stable computed form (meV per atom) = 1127
- ΔE_f (eV per atom) = 1.725

Geometry as CIF:
```
data_CsHgGe3
_space_group_name_H-M_alt 'P m -3 m'
_space_group_IT_number 221
_space_group_name_Hall '-P 4 2 3'
_cell_length_a 5.9479
_cell_length_b 5.9479
_cell_length_c 5.9479
_cell_angle_alpha 90.00
_cell_angle_beta 90.00
_cell_angle_gamma 90.00
loop_
_atom_site_label
_atom_site_fract_x
_atom_site_fract_y
_atom_site_fract_z
Cs1 0.0000 0.0000 0.0000
Hg1 0.5000 0.5000 0.5000
Ge1 0.0000 0.0000 0.5000
```


This record from the Alexandria database describes a relaxed Nb3CrGa crystal. The functional is GGA-PBE.

- offset from the most stable computed form (meV per atom) = 753
- ΔE_f (eV per atom) = 1.514

Geometry as CIF:
```
data_Nb3CrGa
_space_group_name_H-M_alt 'P m -3 m'
_space_group_IT_number 221
_space_group_name_Hall '-P 4 2 3'
_cell_length_a 4.7002
_cell_length_b 4.7002
_cell_length_c 4.7002
_cell_angle_alpha 90.00
_cell_angle_beta 90.00
_cell_angle_gamma 90.00
loop_
_atom_site_label
_atom_site_fract_x
_atom_site_fract_y
_atom_site_fract_z
Nb1 0.0000 0.0000 0.5000
Cr1 0.5000 0.5000 0.5000
Ga1 0.0000 0.0000 0.0000
```


This record from the Alexandria database describes a relaxed CaMgGaAu2 crystal. The functional is GGA-PBE.

- ΔE_f (eV per atom) = -0.611

Geometry as CIF:
```
data_CaMgGaAu2
_space_group_name_H-M_alt 'I -4 m 2'
_space_group_IT_number 119
_space_group_name_Hall 'I -4 -2'
_cell_length_a 4.1707
_cell_length_b 4.1707
_cell_length_c 12.4960
_cell_angle_alpha 90.00
_cell_angle_beta 90.00
_cell_angle_gamma 90.00
loop_
_atom_site_label
_atom_site_fract_x
_atom_site_fract_y
_atom_site_fract_z
Ca1 0.0000 0.0000 0.0000
Mg1 0.0000 0.5000 0.2500
Ga1 0.0000 0.5000 0.7500
Au1 0.0000 0.0000 0.3887
```


This record from the Alexandria database describes a relaxed Be2AgAs crystal. The functional is GGA-PBE.

- ΔE_f (eV per atom) = 0.430

Geometry as CIF:
```
data_Be2AgAs
_space_group_name_H-M_alt 'P 4/m m m'
_space_group_IT_number 123
_space_group_name_Hall '-P 4 2'
_cell_length_a 2.7765
_cell_length_b 2.7765
_cell_length_c 7.2001
_cell_angle_alpha 90.00
_cell_angle_beta 90.00
_cell_angle_gamma 90.00
loop_
_atom_site_label
_atom_site_fract_x
_atom_site_fract_y
_atom_site_fract_z
Be1 0.0000 0.0000 0.2307
Ag1 0.5000 0.5000 0.0000
As1 0.5000 0.5000 0.5000
```


Number 1: E_tot -2.532 eV/atom. Number 2: E_tot -9.658 eV/atom. Number 3: E_tot -2.273 eV/atom. Number 4: E_tot -4.810 eV/atom. Number 5: E_tot -3.536 eV/atom. Number 6: E_tot -2.958 eV/atom. Number 7: E_tot -4.346 eV/atom. Number 8: E_tot -7.769 eV/atom. Number 9: E_tot -4.568 eV/atom. Number 10: E_tot -1.277 eV/atom. Number 11: E_tot -7.058 eV/atom. Number 12: E_tot -3.246 eV/atom. Number 13: E_tot -3.308 eV/atom.